Cu2SiRh | GGA-PBE | optimized geometry

It has space group Pm (No. 6), with a = 2.773 Å, b = 3.720 Å, c = 5.150 Å, α = 90.00°, β = 105.49° and γ = 90.00°. Symmetry generates all atoms from Cu at (0.000, 0.000, 0.000), Cu at (0.402, 0.500, 0.803), Si at (0.251, 0.000, 0.502) and Rh at (0.666, 0.500, 0.330).

The value obtained for the density of states at the Fermi level is 1.2 states/eV/f.u. For the uncorrected formation energy, the calculation gives -1.2 eV/f.u.

=====

Y4TmCd | GGA-PBE | optimized geometry

It has space group P4/mmm (No. 123), with a = 3.576 Å, b = 3.576 Å, c = 14.136 Å, α = 90.00°, β = 90.00° and γ = 90.00°. Symmetry generates all atoms from Y at (0.000, 0.000, 0.146), Y at (0.500, 0.500, 0.326), Tm at (0.000, 0.000, 0.500) and Cd at (0.500, 0.500, 0.000).

Its energy above the most stable polymorph in this dataset is 0.000 eV per atom. As for the formation energy: -0.10 eV per atom. The value obtained for the density of states at the Fermi level is 8.8 states/eV/f.u.

=====

Sc2TaCl | GGA-PBE | optimized geometry

It has space group R-3m (No. 166, hexagonal axes), with a = 3.2653 Å, b = 3.2653 Å, c = 28.8254 Å, α = 90.00°, β = 90.00° and γ = 120.00°. Symmetry generates all atoms from Sc at (0.0000, 0.0000, 0.0861), Ta at (0.0000, 0.0000, 0.5000) and Cl at (0.0000, 0.0000, 0.0000).

Its energy above the most stable polymorph in this dataset is 0.187 eV per atom. The value obtained for the density of states at the Fermi level is 5.2 states/eV/f.u. For the uncorrected formation energy, the calculation gives -1.3 eV/f.u.